Record 1
Crystalline DyZr2Al at its relaxed geometry. Source: Alexandria, functional GGA-PBE.

a = 3.1317 Å, b = 3.1317 Å, c = 9.3473 Å
α = 90.00°, β = 90.00°, γ = 90.00°
Last column: nearest neighbours and their distance in Å.
Space group P4/mmm (No. 123)
One atom of each set of equivalent atoms:
Dy  0.0000  0.0000  0.0000 x1  4 Dy 3.13, 8 Zr 3.49
Zr  0.5000  0.5000  0.2883 x2  4 Al 2.97, 4 Zr 3.13
Al  0.0000  0.0000  0.5000 x1  8 Zr 2.97, 4 Al 3.13

Values from the calculation:
crystal system: tetragonal
total magnetization: 0.0 μB per formula unit
calculated density: 6.7 g cm⁻³
Fermi-level density of states: 4.7 states/eV/f.u.
DFT total energy: -25.95 eV per cell
E above lowest polymorph: 0.0659 eV per atom

Record 2
Crystalline NbBi2SbTe at its relaxed geometry. Source: Alexandria, functional GGA-PBE.

a = 5.8343 Å, b = 5.8343 Å, c = 5.2970 Å
α = 90.00°, β = 90.00°, γ = 90.00°
Last column: nearest neighbours and their distance in Å.
Space group P4/mmm (No. 123)
One atom of each set of equivalent atoms:
Nb  0.0000  0.0000  0.0000 x1  2 Sb 2.65
Bi  0.0000  0.5000  0.5000 x2  2 Sb 2.92
Sb  0.0000  0.0000  0.5000 x1  2 Nb 2.65, 4 Bi 2.92
Te  0.5000  0.5000  0.0000 x1  8 Bi 3.94, 4 Nb 4.13

Values from the calculation:
crystal system: tetragonal
total magnetization: 2.1 μB per formula unit
calculated density: 7.0 g cm⁻³
Fermi-level density of states: 5.7 states/eV/f.u.
uncorrected formation energy: 1.00 eV/atom
DFT total energy: -20.08 eV per cell

Record 3
Crystalline ThCrB4 at its relaxed geometry. Source: Alexandria, functional GGA-PBE.

a = 6.0369 Å, b = 11.6726 Å, c = 3.6309 Å
α = 90.00°, β = 90.00°, γ = 90.00°
Last column: nearest neighbours and their distance in Å.
Space group Pbam (No. 55)
One atom of each set of equivalent atoms:
Th  0.1227  0.1512  0.0000 x4  14 B 2.73-2.83
Cr  0.1222  0.4181  0.0000 x4  10 B 2.34-2.37, 1 Cr 2.42
B  0.0255  0.6878  0.5000 x4  3 B 1.75-1.94
B  0.1109  0.5447  0.5000 x4  3 B 1.70-1.75
B  0.1430  0.9668  0.5000 x4  3 B 1.74-1.89
B  0.2246  0.8184  0.5000 x4  3 B 1.80-1.94

Values from the calculation:
crystal system: orthorhombic
total magnetization: 0.4 μB per formula unit
calculated density: 8.5 g cm⁻³
Fermi-level density of states: 1.9 states/eV/f.u.
DFT total energy: -188.90 eV per cell

Record 4
Crystalline PmNi4Pt8 at its relaxed geometry. Source: Alexandria, functional GGA-PBE.

a = 8.8636 Å, b = 8.8636 Å, c = 5.0939 Å
α = 90.00°, β = 90.00°, γ = 90.00°
Last column: nearest neighbours and their distance in Å.
Space group I4/mmm (No. 139)
One atom of each set of equivalent atoms:
Pm  0.0000  0.0000  0.0000 x2  12 Pt 3.04-3.21, 8 Ni 3.38
Ni  0.2500  0.2500  0.2500 x8  2 Ni 2.55, 8 Pt 2.57-2.69
Pt  0.0000  0.2210  0.5000 x8  4 Ni 2.57, 6 Pt 2.77-2.84
Pt  0.0000  0.3431  0.0000 x8  4 Ni 2.69, 5 Pt 2.77-2.84

Values from the calculation:
crystal system: tetragonal
total magnetization: 4.6 μB per formula unit
calculated density: 16.1 g cm⁻³
Fermi-level density of states: 20.0 states/eV/f.u.
DFT total energy: -160.80 eV per cell

Record 5
Crystalline Nd2Ho5Tm at its relaxed geometry. Source: Alexandria, functional GGA-PBE.

a = 16.1710 Å, b = 9.8441 Å, c = 6.5756 Å
α = 90.00°, β = 100.37°, γ = 90.00°
Last column: nearest neighbours and their distance in Å.
Space group C2/c (No. 15)
One atom of each set of equivalent atoms:
Nd  0.0814  0.2443  0.1240 x8  1 Tm 2.98, 2 Ho 3.22-3.31
Ho  0.0000  0.4405  0.7500 x4  4 Nd 3.22-3.53, 2 Ho 3.49
Ho  0.1007  0.0902  0.6494 x8  3 Nd 3.31-3.53, 1 Tm 3.41, 1 Ho 3.63
Ho  0.2001  0.4139  0.5306 x8  2 Tm 3.42-3.45, 1 Nd 3.43, 7 Ho 3.63-3.78
Tm  0.2500  0.2500  0.0000 x4  2 Nd 2.98

Values from the calculation:
crystal system: monoclinic
total magnetization: 0.0 μB per formula unit
calculated density: 8.3 g cm⁻³
Fermi-level density of states: 11.7 states/eV/f.u.
DFT total energy: -142.48 eV per cell
E above lowest polymorph: 0.1378 eV per atom

Record 6
Crystalline CaAs2IBr at its relaxed geometry. Source: Alexandria, functional GGA-PBE.

a = 5.4018 Å, b = 5.4018 Å, c = 5.7378 Å
α = 90.00°, β = 90.00°, γ = 90.00°
Last column: nearest neighbours and their distance in Å.
Space group P4/mmm (No. 123)
One atom of each set of equivalent atoms:
Ca  0.0000  0.0000  0.0000 x1  4 Br 3.82, 8 As 3.94
As  0.0000  0.5000  0.5000 x2  2 I 2.70
I  0.5000  0.5000  0.5000 x1  4 As 2.70, 2 Br 2.87
Br  0.5000  0.5000  0.0000 x1  2 I 2.87

Values from the calculation:
crystal system: tetragonal
total magnetization: 0.0 μB per formula unit
calculated density: 3.9 g cm⁻³
Fermi-level density of states: 5.0 states/eV/f.u.
uncorrected formation energy: 0.31 eV/atom
DFT total energy: -12.95 eV per cell
E above lowest polymorph: 0.0997 eV per atom

Record 7
Crystalline Tb6CeEr2 at its relaxed geometry. Source: Alexandria, functional GGA-PBE.

a = 6.1399 Å, b = 6.1427 Å, c = 7.9220 Å
α = 75.13°, β = 82.76°, γ = 80.32°
Last column: nearest neighbours and their distance in Å.
Space group P-1 (No. 2)
One atom of each set of equivalent atoms:
Tb  0.1096  0.0568  0.2808 x2  7 Tb 3.50-3.58, 2 Ce 3.52-3.55, 3 Er 3.53-3.55
Tb  0.2204  0.6104  0.0591 x2  1 Ce 3.52, 9 Tb 3.52-3.57, 2 Er 3.52-3.58
Tb  0.3314  0.1685  0.8315 x2  1 Ce 3.52, 8 Tb 3.52-3.58, 3 Er 3.52-3.57
Ce  0.0000  0.5000  0.5000 x1  8 Tb 3.52-3.55, 4 Er 3.53-3.54
Er  0.4444  0.7188  0.6104 x2  2 Er 3.50-3.59, 8 Tb 3.52-3.58, 2 Ce 3.53-3.54

Values from the calculation:
crystal system: triclinic
total magnetization: 1.1 μB per formula unit
calculated density: 8.4 g cm⁻³
Fermi-level density of states: 14.9 states/eV/f.u.
DFT total energy: -42.49 eV per cell
E above lowest polymorph: 0.0000 eV per atom

Record 8
Crystalline Pm5Er3Tm at its relaxed geometry. Source: Alexandria, functional GGA-PBE.

a = 9.2572 Å, b = 9.2572 Å, c = 14.1740 Å
α = 90.00°, β = 90.00°, γ = 90.00°
Last column: nearest neighbours and their distance in Å.
Space group I4/mcm (No. 140)
One atom of each set of equivalent atoms:
Pm  0.0000  0.0000  0.0000 x4  6 Er 3.54-3.75, 8 Pm 3.82
Pm  0.2015  0.2985  0.1321 x16  1 Er 3.10, 1 Tm 3.12
Er  0.0000  0.0000  0.2500 x4  10 Pm 3.54-3.73
Er  0.1098  0.3902  0.5000 x8  1 Er 2.87, 2 Pm 3.10
Tm  0.0000  0.5000  0.2500 x4  4 Pm 3.12

Values from the calculation:
crystal system: tetragonal
total magnetization: 0.0 μB per formula unit
calculated density: 7.6 g cm⁻³
Fermi-level density of states: 12.9 states/eV/f.u.
DFT total energy: -156.17 eV per cell
E above lowest polymorph: 0.0614 eV per atom